No. 1
Material: ScCuBr2
Method: DFT, PBEsol
State: optimized geometry

CIF file:
```
data_ScCuBr2
_chemical_formula_sum 'Sc1 Cu1 Br2'
_space_group_name_H-M_alt 'P 1 2/m 1'
_space_group_IT_number 10
_space_group_name_Hall '-P 2y'
_cell_length_a 3.404
_cell_length_b 3.406
_cell_length_c 6.405
_cell_angle_alpha 90.00
_cell_angle_beta 93.53
_cell_angle_gamma 90.00
loop_
_atom_site_label
_atom_site_type_symbol
_atom_site_fract_x
_atom_site_fract_y
_atom_site_fract_z
_atom_site_occupancy
Sc1 Sc 0.000 0.000 0.000 1
Cu1 Cu 0.000 0.000 0.500 1
Br1 Br 0.467 0.500 0.758 1
```

Calculated values
energy above the lowest structure with this stoichiometry	16.79	kJ per mole of atoms
uncorrected formation energy	-500	meV per atom
magnetization	0.000	μB/atom

***

No. 2
Material: Mg2AlPt
Method: DFT, PBEsol
State: optimized geometry

CIF file:
```
data_Mg2AlPt
_chemical_formula_sum 'Mg4 Al2 Pt2'
_space_group_name_H-M_alt 'I -4 m 2'
_space_group_IT_number 119
_space_group_name_Hall 'I -4 -2'
_cell_length_a 4.231
_cell_length_b 4.231
_cell_length_c 7.196
_cell_angle_alpha 90.00
_cell_angle_beta 90.00
_cell_angle_gamma 90.00
loop_
_atom_site_label
_atom_site_type_symbol
_atom_site_fract_x
_atom_site_fract_y
_atom_site_fract_z
_atom_site_occupancy
Mg1 Mg 0.000 0.000 0.000 1
Mg2 Mg 0.000 0.500 0.250 1
Al1 Al 0.000 0.000 0.500 1
Pt1 Pt 0.000 0.500 0.750 1
```

Calculated values
DFT formation energy	-2.135	eV per formula unit
magnetization	0.000	μB/atom